1.
# CrHSe2 meta-GGA SCAN single point on PBEsol structure
# Uncorrected energy = -16.019 eV/atom
data_CrHSe2
_chemical_formula_sum 'Cr3 H3 Se6'
_cell_length_a 3.7012
_cell_length_b 3.7012
_cell_length_c 18.2842
_cell_angle_alpha 90.00
_cell_angle_beta 90.00
_cell_angle_gamma 120.00
_space_group_name_H-M_alt 'R -3 m'
_space_group_IT_number 166
_space_group_name_Hall '-R 3 2"'
loop_
_atom_site_label
_atom_site_fract_x
_atom_site_fract_y
_atom_site_fract_z
Cr1 0.0000 0.0000 0.0000
H1 0.0000 0.0000 0.5000
Se1 0.0000 0.0000 0.4042



2.
# BaTcIr2Pt meta-GGA SCAN single point on PBEsol structure
# Energy relative to the elements = 1.1056 eV per atom
data_BaTcIr2Pt
_chemical_formula_sum 'Ba1 Tc1 Ir2 Pt1'
_cell_length_a 4.949
_cell_length_b 4.949
_cell_length_c 4.690
_cell_angle_alpha 90.00
_cell_angle_beta 90.00
_cell_angle_gamma 90.00
_space_group_name_H-M_alt 'P 4/m m m'
_space_group_IT_number 123
_space_group_name_Hall '-P 4 2'
loop_
_atom_site_label
_atom_site_fract_x
_atom_site_fract_y
_atom_site_fract_z
Ba1 0.000 0.000 0.000
Tc1 0.500 0.500 0.000
Ir1 0.000 0.500 0.500
Pt1 0.500 0.500 0.500



3.
# HfBe2Ru meta-GGA SCAN single point on PBEsol structure
# Energy relative to the elements = 0.1588 eV per atom
data_HfBe2Ru
_chemical_formula_sum 'Hf4 Be8 Ru4'
_cell_length_a 3.747
_cell_length_b 3.747
_cell_length_c 16.567
_cell_angle_alpha 90.00
_cell_angle_beta 90.00
_cell_angle_gamma 90.00
_space_group_name_H-M_alt 'I -4 2 d'
_space_group_IT_number 122
_space_group_name_Hall 'I -4 2bw'
loop_
_atom_site_label
_atom_site_fract_x
_atom_site_fract_y
_atom_site_fract_z
Hf1 0.000 0.000 0.000
Be1 0.105 0.250 0.625
Ru1 0.000 0.000 0.500